(1)
{"formula": "Li4CuSbO6", "functional": "SCAN", "state": "PBEsol geometry", "space_group": "No. 15", "vol_a3_per_fu": 111.65, "energy_ev_per_cell": -241.45, "cell": [[2.670, -4.311, 0.000], [2.670, 4.311, 0.000], [-1.113, 0.000, 9.699]], "species": ["Li", "Li", "Li", "Li", "Li", "Li", "Li", "Li", "Cu", "Cu", "Sb", "Sb", "O", "O", "O", "O", "O", "O", "O", "O", "O", "O", "O", "O"], "frac_coords": [[0.000, 0.500, 0.500], [0.089, 0.911, 0.750], [0.172, 0.307, 0.998], [0.307, 0.172, 0.498], [0.500, 0.000, 0.000], [0.693, 0.828, 0.502], [0.828, 0.693, 0.002], [0.911, 0.089, 0.250], [0.421, 0.579, 0.750], [0.579, 0.421, 0.250], [0.239, 0.761, 0.250], [0.761, 0.239, 0.750], [0.007, 0.193, 0.615], [0.123, 0.591, 0.853], [0.193, 0.007, 0.115], [0.321, 0.481, 0.364], [0.409, 0.877, 0.647], [0.481, 0.321, 0.864], [0.519, 0.679, 0.136], [0.591, 0.123, 0.353], [0.679, 0.519, 0.636], [0.807, 0.993, 0.885], [0.877, 0.409, 0.147], [0.993, 0.807, 0.385]]}



(2)
{"formula": "SmMn4Al8", "functional": "SCAN", "state": "PBEsol geometry", "space_group": "No. 139", "vol_a3_per_fu": 187.41, "ef_mev_per_atom": -424, "cell": [[-4.375, 4.375, 2.448], [4.375, -4.375, 2.448], [4.375, 4.375, -2.448]], "species": ["Sm", "Mn", "Mn", "Mn", "Mn", "Al", "Al", "Al", "Al", "Al", "Al", "Al", "Al"], "frac_coords": [[0.000, 0.000, 0.000], [0.000, 0.000, 0.500], [0.000, 0.500, 0.000], [0.500, 0.000, 0.000], [0.500, 0.500, 0.500], [0.000, 0.342, 0.342], [0.000, 0.658, 0.658], [0.281, 0.500, 0.781], [0.342, 0.000, 0.342], [0.500, 0.281, 0.781], [0.500, 0.719, 0.219], [0.658, 0.000, 0.658], [0.719, 0.500, 0.219]]}



(3)
{"formula": "MgTePS2", "functional": "SCAN", "state": "PBEsol geometry", "space_group": "No. 123", "vol_a3_per_fu": 123.66, "energy_ev_per_cell": -69.32, "cell": [[4.938, 0.000, 0.000], [0.000, 4.938, 0.000], [0.000, 0.000, 5.071]], "species": ["Mg", "Te", "P", "S", "S"], "frac_coords": [[0.000, 0.000, 0.000], [0.500, 0.500, 0.500], [0.500, 0.500, 0.000], [0.000, 0.500, 0.500], [0.500, 0.000, 0.500]]}



(4)
{"formula": "CrSb2CI", "functional": "SCAN", "state": "PBEsol geometry", "space_group": "No. 123", "vol_a3_per_fu": 105.91, "energy_ev_per_cell": -133.34, "cell": [[4.761, 0.000, 0.000], [0.000, 4.761, 0.000], [0.000, 0.000, 4.673]], "species": ["Cr", "Sb", "Sb", "C", "I"], "frac_coords": [[0.000, 0.000, 0.000], [0.000, 0.500, 0.500], [0.500, 0.000, 0.500], [0.500, 0.500, 0.500], [0.500, 0.500, 0.000]]}



(5)
{"formula": "TcAg3As", "functional": "SCAN", "state": "PBEsol geometry", "space_group": "No. 221", "vol_a3_per_fu": 105.08, "ef_mev_per_atom": 1065, "cell": [[4.719, 0.000, 0.000], [0.000, 4.719, 0.000], [0.000, 0.000, 4.719]], "species": ["Tc", "Ag", "Ag", "Ag", "As"], "frac_coords": [[0.000, 0.000, 0.000], [0.000, 0.500, 0.500], [0.500, 0.000, 0.500], [0.500, 0.500, 0.000], [0.500, 0.500, 0.500]]}



(6)
{"formula": "CsBa2Ni", "functional": "SCAN", "state": "PBEsol geometry", "space_group": "No. 225", "vol_a3_per_fu": 144.50, "ef_mev_per_atom": 583, "cell": [[0.000, 4.165, 4.165], [4.165, 0.000, 4.165], [4.165, 4.165, 0.000]], "species": ["Cs", "Ba", "Ba", "Ni"], "frac_coords": [[0.000, 0.000, 0.000], [0.250, 0.250, 0.250], [0.750, 0.750, 0.750], [0.500, 0.500, 0.500]]}